A plane-wave DFT calculation with GGA-PBEsol was carried out for crystalline FeCo2GeI at its relaxed geometry.

```
FeCo2GeI
1.0
-1.951 -0.853 3.848
-1.328 -3.900 -1.538
3.975 -1.976 1.578
Ge Co I Fe
1 2 1 1
direct
0.500 0.500 0.500
0.000 0.500 0.000
0.500 0.000 0.000
0.000 0.000 0.500
0.000 0.000 0.000
```

mass density: 6.80 Mg/m³
electronic total energy: -4.99 eV/atom